# 1
VASP calculation (PBE) on an optimized crystal structure of SbPt3Au.

a = 4.919 Å, b = 4.919 Å, c = 4.919 Å
α = 90.00°, β = 90.00°, γ = 90.00°
Fractional positions:
Sb 0.000 0.000 0.000
Au 0.500 0.500 0.500
Pt 0.000 0.500 0.000
Pt 0.000 0.000 0.500
Pt 0.500 0.000 0.000

Summary:
For the magnetization, the calculation gives 0.0 μB per formula unit. The uncorrected energy comes out at -4.23 eV/atom. For the energy relative to the elements, uncorrected, the calculation gives 0.88 eV/atom. Its density of states at the Fermi level is 0.39 states/eV/atom.

=====

# 2
VASP calculation (PBE) on an optimized crystal structure of CeTmGe.

a = 4.595 Å, b = 4.595 Å, c = 8.875 Å
α = 89.98°, β = 105.02°, γ = 120.01°
Last column: magnetic moment on the atom in μB.
Fractional positions:
Ce 0.279 0.139 0.418  0.75
Ce 0.721 0.861 0.582  0.75
Tm 0.581 0.290 0.871  0.03
Tm 0.419 0.710 0.129  0.03
Ge 0.827 0.413 0.241  0.00
Ge 0.173 0.587 0.759  0.00

Summary:
For the magnetization, the calculation gives 0.9 μB per formula unit. The uncorrected energy comes out at -5.45 eV/atom. Its density of states at the Fermi level is 2.04 states/eV/atom. For the energy relative to the elements, the calculation gives -0.4440 eV per atom.

=====

# 3
VASP calculation (PBE) on an optimized crystal structure of CePaW4.

a = 5.542 Å, b = 5.542 Å, c = 5.542 Å
α = 60.00°, β = 60.00°, γ = 60.00°
Fractional positions:
Pa 0.000 0.000 0.000
Ce 0.250 0.250 0.250
W 0.625 0.625 0.125
W 0.625 0.125 0.625
W 0.625 0.625 0.625
W 0.125 0.625 0.625

Summary:
For the magnetization, the calculation gives 0.0 μB per formula unit. The uncorrected energy comes out at -11.02 eV/atom. Its density of states at the Fermi level is 1.16 states/eV/atom. For the energy relative to the elements, the calculation gives 0.1855 eV per atom.

=====

# 4
VASP calculation (PBE) on an optimized crystal structure of Ho4TcTe.

a = 4.132 Å, b = 7.999 Å, c = 19.354 Å
α = 90.00°, β = 90.00°, γ = 90.00°
Fractional positions:
Ho 0.750 0.880 0.642
Ho 0.250 0.120 0.358
Ho 0.250 0.620 0.142
Ho 0.750 0.380 0.858
Ho 0.750 0.856 0.458
Ho 0.250 0.144 0.542
Ho 0.250 0.644 0.958
Ho 0.750 0.356 0.042
Ho 0.750 0.002 0.934
Ho 0.250 0.998 0.066
Ho 0.250 0.498 0.434
Ho 0.750 0.502 0.566
Ho 0.750 0.934 0.210
Ho 0.250 0.066 0.790
Ho 0.250 0.566 0.710
Ho 0.750 0.434 0.290
Tc 0.750 0.251 0.442
Tc 0.250 0.749 0.558
Tc 0.250 0.249 0.942
Tc 0.750 0.751 0.058
Te 0.750 0.760 0.805
Te 0.250 0.240 0.195
Te 0.250 0.740 0.305
Te 0.750 0.260 0.695

Summary:
For the magnetization, the calculation gives 0.0 μB per formula unit. The uncorrected energy comes out at -5.83 eV/atom. For the energy relative to the elements, uncorrected, the calculation gives -0.52 eV/atom. Its density of states at the Fermi level is 0.99 states/eV/atom.

=====

# 5
VASP calculation (PBE) on an optimized crystal structure of LiInAs2.

a = 5.501 Å, b = 5.501 Å, c = 5.501 Å
α = 135.55°, β = 135.55°, γ = 64.68°
Fractional positions:
As 0.000 0.000 0.000
As 0.250 0.750 0.500
In 0.500 0.500 0.000
Li 0.750 0.250 0.500

Summary:
For the magnetization, the calculation gives 0.0 μB per formula unit. The uncorrected energy comes out at -3.53 eV/atom. Its density of states at the Fermi level is 0.54 states/eV/atom. For the energy relative to the elements, the calculation gives -0.0469 eV per atom.

=====

# 6
VASP calculation (PBE) on an optimized crystal structure of SiAg2Rh.

a = 2.976 Å, b = 2.976 Å, c = 7.180 Å
α = 90.00°, β = 90.00°, γ = 90.00°
Fractional positions:
Ag 0.000 0.000 0.974
Ag 0.500 0.500 0.261
Rh 0.000 0.000 0.550
Si 0.500 0.500 0.714

Summary:
For the magnetization, the calculation gives 0.0 μB per formula unit. The uncorrected energy comes out at -4.79 eV/atom. For the energy relative to the elements, uncorrected, the calculation gives -0.17 eV/atom. Its density of states at the Fermi level is 0.38 states/eV/atom.

=====

# 7
VASP calculation (PBE) on an optimized crystal structure of K2DyNpTe4.

a = 4.531 Å, b = 7.880 Å, c = 8.620 Å
α = 107.69°, β = 90.00°, γ = 90.00°
Last column: magnetic moment on the atom in μB.
Fractional positions:
K 0.500 0.000 0.500  0.00
K 0.000 0.500 0.500  0.00
Dy 0.500 0.500 0.000  0.03
Np 0.000 0.000 0.000  3.98
Te 0.500 0.240 0.209  -0.05
Te 0.500 0.760 0.791  -0.05
Te 0.000 0.268 0.791  -0.02
Te 0.000 0.732 0.209  -0.02

Summary:
For the magnetization, the calculation gives 4.0 μB per formula unit. The uncorrected energy comes out at -5.17 eV/atom. For the energy relative to the elements, uncorrected, the calculation gives -1.14 eV/atom. Its density of states at the Fermi level is 0.88 states/eV/atom.

=====

# 8
VASP calculation (PBE) on an optimized crystal structure of BaBiBr3.

a = 5.965 Å, b = 5.965 Å, c = 5.965 Å
α = 90.00°, β = 90.00°, γ = 90.00°
Fractional positions:
Ba 0.500 0.500 0.500
Bi 0.000 0.000 0.000
Br 0.000 0.500 0.000
Br 0.000 0.000 0.500
Br 0.500 0.000 0.000

Summary:
For the magnetization, the calculation gives 0.0 μB per formula unit. The uncorrected energy comes out at -2.98 eV/atom. For the energy relative to the elements, uncorrected, the calculation gives -0.81 eV/atom. Its density of states at the Fermi level is 0.67 states/eV/atom.

=====

# 9
VASP calculation (PBE) on an optimized crystal structure of Sm3ZrTl3S8.

a = 8.062 Å, b = 8.062 Å, c = 8.893 Å
α = 116.97°, β = 90.00°, γ = 120.00°
Fractional positions:
Sm 0.500 0.000 0.500
Sm 0.500 0.500 0.500
Sm 0.000 0.500 0.500
Zr 0.000 0.000 0.500
Tl 0.000 0.000 0.000
Tl 0.000 0.500 0.000
Tl 0.500 0.500 0.000
S 0.266 0.531 0.297
S 0.734 0.469 0.703
S 0.780 0.560 0.307
S 0.220 0.440 0.693
S 0.780 0.027 0.307
S 0.220 0.973 0.693
S 0.247 0.027 0.307
S 0.753 0.973 0.693

Summary:
For the magnetization, the calculation gives 0.0 μB per formula unit. The uncorrected energy comes out at -5.67 eV/atom. For the energy relative to the elements, uncorrected, the calculation gives -1.48 eV/atom.

=====

# 10
VASP calculation (PBE) on an optimized crystal structure of PaTiVMo.

a = 4.614 Å, b = 4.614 Å, c = 4.614 Å
α = 60.00°, β = 60.00°, γ = 60.00°
Fractional positions:
Mo 0.000 0.000 0.000
Pa 0.750 0.750 0.750
Ti 0.250 0.250 0.250
V 0.500 0.500 0.500

Summary:
For the magnetization, the calculation gives 0.0 μB per formula unit. The uncorrected energy comes out at -9.37 eV/atom. Its density of states at the Fermi level is 0.95 states/eV/atom. For the energy relative to the elements, the calculation gives -0.0373 eV per atom.

=====

# 11
VASP calculation (PBE) on an optimized crystal structure of Li2LaNd2Ge2.

a = 4.599 Å, b = 4.599 Å, c = 9.731 Å
α = 76.33°, β = 76.33°, γ = 60.00°
Fractional positions:
Li 0.596 0.596 0.212
Li 0.404 0.404 0.788
La 0.000 0.000 0.000
Nd 0.128 0.128 0.615
Nd 0.872 0.872 0.385
Ge 0.738 0.738 0.786
Ge 0.262 0.262 0.214

Summary:
For the magnetization, the calculation gives 0.0 μB per formula unit. The uncorrected energy comes out at -4.43 eV/atom. Its density of states at the Fermi level is 0.68 states/eV/atom. For the energy relative to the elements, the calculation gives -0.4950 eV per atom.

=====

# 12
VASP calculation (PBE) on an optimized crystal structure of BiSb2TeSe.

a = 5.472 Å, b = 5.472 Å, c = 5.382 Å
α = 90.00°, β = 90.00°, γ = 90.00°
Fractional positions:
Sb 0.000 0.500 0.000
Sb 0.500 0.000 0.000
Te 0.000 0.000 0.500
Bi 0.500 0.500 0.500
Se 0.000 0.000 0.000

Summary:
For the magnetization, the calculation gives 0.0 μB per formula unit. The uncorrected energy comes out at -3.24 eV/atom. For the energy relative to the elements, uncorrected, the calculation gives 0.51 eV/atom. Its density of states at the Fermi level is 1.22 states/eV/atom.

=====

# 13
VASP calculation (PBE) on an optimized crystal structure of YAgSb2.

a = 6.009 Å, b = 6.009 Å, c = 6.009 Å
α = 137.36°, β = 137.36°, γ = 61.89°
Fractional positions:
Ag 0.750 0.250 0.500
Sb 0.000 0.000 0.000
Sb 0.250 0.750 0.500
Y 0.500 0.500 0.000

Summary:
For the magnetization, the calculation gives 0.0 μB per formula unit. The uncorrected energy comes out at -4.84 eV/atom. For the energy relative to the elements, uncorrected, the calculation gives -0.45 eV/atom. Its density of states at the Fermi level is 0.45 states/eV/atom.

=====

# 14
VASP calculation (PBE) on an optimized crystal structure of Er3Se3Br.

a = 8.606 Å, b = 8.606 Å, c = 7.514 Å
α = 55.07°, β = 55.07°, γ = 60.00°
Fractional positions:
Er 0.286 0.560 0.241
Er 0.913 0.286 0.241
Er 0.560 0.913 0.241
Er 0.440 0.087 0.759
Er 0.087 0.714 0.759
Er 0.714 0.440 0.759
Se 0.378 0.795 0.736
Se 0.795 0.091 0.736
Se 0.091 0.378 0.736
Se 0.909 0.622 0.264
Se 0.205 0.909 0.264
Se 0.622 0.205 0.264
Br 0.325 0.325 0.026
Br 0.675 0.675 0.974

Summary:
For the magnetization, the calculation gives 0.0 μB per formula unit. The uncorrected energy comes out at -5.30 eV/atom. For the energy relative to the elements, uncorrected, the calculation gives -1.61 eV/atom. Its density of states at the Fermi level is 0.32 states/eV/atom.

=====

# 15
VASP calculation (PBE) on an optimized crystal structure of TaNb2ZnO.

a = 4.850 Å, b = 4.907 Å, c = 4.850 Å
α = 90.00°, β = 90.00°, γ = 90.00°
Last column: magnetic moment on the atom in μB.
Fractional positions:
Nb 0.000 0.000 0.500  0.05
Nb 0.500 0.000 0.000  0.14
Zn 0.000 0.500 0.000  0.00
O 0.500 0.500 0.500  0.21
Ta 0.000 0.000 0.000  0.01

Summary:
For the magnetization, the calculation gives 0.5 μB per formula unit. The uncorrected energy comes out at -5.96 eV/atom. For the energy relative to the elements, uncorrected, the calculation gives 1.69 eV/atom. Its density of states at the Fermi level is 0.82 states/eV/atom.

=====

# 16
VASP calculation (PBE) on an optimized crystal structure of Hg2IF.

a = 5.925 Å, b = 5.925 Å, c = 11.983 Å
α = 90.00°, β = 90.00°, γ = 120.00°
Fractional positions:
Hg 0.164 0.442 0.868
Hg 0.558 0.721 0.202
Hg 0.279 0.836 0.535
Hg 0.721 0.558 0.798
Hg 0.836 0.279 0.465
Hg 0.442 0.164 0.132
I 0.575 0.000 0.833
I 0.000 0.575 0.167
I 0.425 0.425 0.500
F 0.851 0.000 0.333
F 0.000 0.851 0.667
F 0.149 0.149 0.000

Summary:
For the magnetization, the calculation gives 0.0 μB per formula unit. The uncorrected energy comes out at -1.47 eV/atom. For the energy relative to the elements, uncorrected, the calculation gives -0.47 eV/atom. Its density of states at the Fermi level is 0.44 states/eV/atom.

=====

# 17
VASP calculation (PBE) on an optimized crystal structure of AlCoSe2Br.

a = 4.952 Å, b = 4.952 Å, c = 4.910 Å
α = 90.00°, β = 90.00°, γ = 90.00°
Last column: magnetic moment on the atom in μB.
Fractional positions:
Co 0.500 0.500 0.500  2.31
Se 0.000 0.500 0.000  0.10
Se 0.500 0.000 0.000  0.10
Br 0.000 0.000 0.500  0.04
Al 0.000 0.000 0.000  0.00

Summary:
For the magnetization, the calculation gives 2.8 μB per formula unit. The uncorrected energy comes out at -3.47 eV/atom. For the energy relative to the elements, uncorrected, the calculation gives 0.43 eV/atom. Its density of states at the Fermi level is 0.68 states/eV/atom.

=====

# 18
VASP calculation (PBE) on an optimized crystal structure of CsCa2Mg2.

a = 4.247 Å, b = 4.247 Å, c = 13.248 Å
α = 80.78°, β = 80.78°, γ = 90.00°
Fractional positions:
Cs 0.000 0.000 0.000
Ca 0.357 0.357 0.285
Ca 0.643 0.643 0.715
Mg 0.750 0.250 0.500
Mg 0.250 0.750 0.500

Summary:
For the magnetization, the calculation gives 0.0 μB per formula unit. The uncorrected energy comes out at -1.39 eV/atom. Its density of states at the Fermi level is 1.06 states/eV/atom. For the energy relative to the elements, the calculation gives 0.2236 eV per atom.

=====

# 19
VASP calculation (PBE) on an optimized crystal structure of OsI.

a = 11.486 Å, b = 11.486 Å, c = 3.780 Å
α = 90.00°, β = 90.00°, γ = 90.00°
Fractional positions:
Os 0.286 0.199 0.000
Os 0.714 0.801 0.000
Os 0.801 0.286 0.000
Os 0.199 0.714 0.000
Os 0.786 0.699 0.500
Os 0.214 0.301 0.500
Os 0.301 0.786 0.500
Os 0.699 0.214 0.500
I 0.484 0.753 0.000
I 0.516 0.247 0.000
I 0.247 0.484 0.000
I 0.753 0.516 0.000
I 0.984 0.253 0.500
I 0.016 0.747 0.500
I 0.747 0.984 0.500
I 0.253 0.016 0.500

Summary:
For the magnetization, the calculation gives 0.0 μB per formula unit. The uncorrected energy comes out at -5.45 eV/atom. For the energy relative to the elements, uncorrected, the calculation gives 0.94 eV/atom. Its density of states at the Fermi level is 0.94 states/eV/atom.

=====

# 20
VASP calculation (PBE) on an optimized crystal structure of V2TcHPd.

a = 3.938 Å, b = 3.938 Å, c = 3.770 Å
α = 90.00°, β = 90.00°, γ = 90.00°
Fractional positions:
H 0.000 0.000 0.000
Tc 0.000 0.000 0.500
Pd 0.500 0.500 0.500
V 0.000 0.500 0.000
V 0.500 0.000 0.000

Summary:
For the magnetization, the calculation gives 0.0 μB per formula unit. The uncorrected energy comes out at -7.54 eV/atom. Its density of states at the Fermi level is 1.15 states/eV/atom.